Crystalline ReWO2F at its relaxed geometry. Source: the Alexandria database, functional PBE+U.

## Properties
- DOS(E_F) (states/eV per cell) = 1.972
- DFT total energy (eV per atom) = -6.8154

Cell lengths 3.731, 3.731, 6.018 Å; angles 90.00, 90.00, 90.00 degrees
Space group P4/mmm (No. 123)
Symmetry-distinct sites (fractional):
Re (0.000, 0.000, 0.000)
W (0.500, 0.500, 0.500)
O (0.000, 0.500, 0.000)
F (0.000, 0.000, 0.500)